Here is crystalline FeReHW2 at its relaxed geometry from Alexandria via LeMat-Bulk. Energies are from PBE.

Output
space group	P4/mmm, No. 123
magnetic moment	0.24	μB per atom
calculated total energy	-9.88	eV per atom

```
FeReHW2
1.0
4.042 0.000 0.000
0.000 4.042 0.000
0.000 0.000 3.696
Fe Re H W
1 1 1 2
Cartesian
0.000 0.000 0.000
2.021 2.021 0.000
0.000 0.000 1.848
0.000 2.021 1.848
2.021 0.000 1.848
```